First-principles (PBE+U) data for a relaxed structure of Na4MoO4, as listed in the Alexandria database.

Unit cell a=11.147 b=3.320 c=8.008 alpha=90.00 beta=121.95 gamma=90.00
Space group C2/m (No. 12)
Unique sites:
1 Na 0.131 0.000 0.400 x4
2 Na 0.203 0.500 0.825 x4
3 Mo 0.000 0.500 0.000 x2
4 O 0.070 0.000 0.899 x4
5 O 0.191 0.500 0.265 x4

Output
The value obtained for the raw total energy is -5.099 eV/atom.